Entry from the Open Quantum Materials Database: a geometry-optimized HgBr structure (PBE-GGA).

relative energy among the computed polymorphs	0.321	eV/atom
SG	F-43m
DFT total energy	-1.067	eV/atom

a = 4.774 Å, b = 4.774 Å, c = 4.774 Å
α = 60.00°, β = 60.00°, γ = 60.00°
Fractional coordinates of all 2 atoms:
Hg (0.000, 0.000, 0.000)
Br (0.250, 0.250, 0.250)